Compound: Tl2MoCl4F2
Source: the Alexandria database
Functional: GGA+U
Structure: relaxed

## Properties
Total magnetic moment (μB/atom): 0.22
Calculated total energy (Ha/atom): -0.146

POSCAR file:
```
Tl2MoCl4F2
1.0
5.731 -3.601 0.000
5.731 3.601 0.000
-1.245 0.000 5.702
Tl Mo Cl F
2 1 4 2
Direct
0.177 0.177 0.288
0.823 0.823 0.712
0.500 0.500 0.000
0.162 0.646 0.189
0.354 0.838 0.811
0.646 0.162 0.189
0.838 0.354 0.811
0.361 0.361 0.734
0.639 0.639 0.266
```

***

Compound: Tl2MoCl2F4
Source: the Alexandria database
Functional: GGA+U
Structure: relaxed

## Properties
Total magnetic moment (μB/atom): 0.22
Calculated total energy (Ha/atom): -0.163

POSCAR file:
```
Tl2MoCl2F4
1.0
6.106 -3.114 0.000
6.106 3.114 0.000
-0.365 0.000 5.379
Tl Mo Cl F
2 1 2 4
Direct
0.146 0.146 0.155
0.854 0.854 0.845
0.500 0.500 0.500
0.315 0.315 0.665
0.685 0.685 0.335
0.223 0.681 0.262
0.319 0.777 0.738
0.681 0.223 0.262
0.777 0.319 0.738
```

***

Compound: Tl2MoCl3F3
Source: the Alexandria database
Functional: GGA+U
Structure: relaxed

## Properties
Total magnetic moment (μB/atom): 0.22
Calculated total energy (Ha/atom): -0.139

POSCAR file:
```
Tl2MoCl3F3
1.0
7.538 0.000 0.000
-3.769 6.528 0.000
0.000 0.000 3.836
Tl Mo Cl F
2 1 3 3
Direct
0.333 0.667 0.000
0.667 0.333 0.000
0.000 0.000 0.500
0.000 0.676 0.500
0.324 0.324 0.500
0.676 0.000 0.500
0.000 0.197 0.000
0.197 0.000 0.000
0.803 0.803 0.000
```